(1)
Material: ReAsRu2
Method: DFT, PBE
State: optimized geometry

Summary:
D(E_F): 4.42 states/eV per cell

Lattice parameters (Å, degrees): 4.5490 4.5490 2.8660 90.00 90.00 90.00
With the nearest neighbours (Å) after each atom.
Space group P4/mmm (No. 123)
Unique sites:
Re 0.0000 0.0000 0.0000 (multiplicity 1)  8 Ru 2.69, 2 Re 2.87
As 0.5000 0.5000 0.0000 (multiplicity 1)  8 Ru 2.69, 2 As 2.87
Ru 0.0000 0.5000 0.5000 (multiplicity 2)  4 As 2.69, 4 Re 2.69, 2 Ru 2.87


(2)
Material: K2BeNi
Method: DFT, PBE
State: optimized geometry

Summary:
D(E_F): 2.67 states/eV per cell

Lattice parameters (Å, degrees): 3.2353 3.2353 9.7996 90.00 90.00 90.00
With the nearest neighbours (Å) after each atom.
Space group P4mm (No. 99)
Unique sites:
K 0.0000 0.0000 0.0000 (multiplicity 1)  1 Ni 2.93, 4 K 3.24
K 0.5000 0.5000 0.4263 (multiplicity 1)  1 Be 2.92, 4 K 3.24
Be 0.5000 0.5000 0.7243 (multiplicity 1)  4 Ni 2.30
Ni 0.0000 0.0000 0.7015 (multiplicity 1)  4 Be 2.30


(3)
Material: AcLa2TbDy
Method: DFT, PBE
State: optimized geometry

Summary:
D(E_F): 28.67 states/eV per cell

Lattice parameters (Å, degrees): 8.4440 12.2533 7.4837 90.00 90.00 90.00
With the nearest neighbours (Å) after each atom.
Space group Cmcm (No. 63)
Unique sites:
Ac 0.0000 0.2403 0.2500 (multiplicity 4)  1 Tb 3.55, 2 Dy 3.82
La 0.1980 0.5000 0.0000 (multiplicity 8)  2 Tb 3.22, 1 La 3.34, 2 Dy 3.49
Tb 0.0000 0.0495 0.7500 (multiplicity 4)  1 Dy 3.09, 4 La 3.22
Dy 0.0000 0.3017 0.7500 (multiplicity 4)  1 Tb 3.09


(4)
Material: ZnBiBr2
Method: DFT, PBE
State: optimized geometry

Summary:
Uncorrected formation energy: 0.0447 eV/atom
Polymorph energy (0 for the lowest one): 0.4075 eV/atom
D(E_F): 11.22 states/eV per cell

Lattice parameters (Å, degrees): 7.4055 7.4055 10.0648 90.00 90.00 90.00
With the nearest neighbours (Å) after each atom.
Space group I-42d (No. 122)
Unique sites:
Zn 0.0000 0.0000 0.0000 (multiplicity 4)  4 Br 2.48
Bi 0.0000 0.0000 0.5000 (multiplicity 4)  4 Br 3.46
Br 0.1429 0.2500 0.1250 (multiplicity 8)  2 Zn 2.48


(5)
Material: Dy2CoIr
Method: DFT, PBE
State: optimized geometry

Summary:
D(E_F): 1.84 states/eV per cell

Lattice parameters (Å, degrees): 4.8002 4.8002 3.3967 90.00 90.00 90.00
With the nearest neighbours (Å) after each atom.
Space group P4/mmm (No. 123)
Unique sites:
Dy 0.0000 0.5000 0.0000 (multiplicity 2)  4 Co 2.94, 4 Ir 2.94
Co 0.0000 0.0000 0.5000 (multiplicity 1)  8 Dy 2.94
Ir 0.5000 0.5000 0.5000 (multiplicity 1)  8 Dy 2.94


(6)
Material: Ce3ThSb3
Method: DFT, PBE
State: optimized geometry

Summary:
Uncorrected formation energy: -0.5993 eV/atom
Polymorph energy (0 for the lowest one): 0.2769 eV/atom
D(E_F): 37.34 states/eV per cell

Lattice parameters (Å, degrees): 9.1213 9.1213 5.6575 90.00 90.00 120.00
With the nearest neighbours (Å) after each atom.
Space group P6_3/m (No. 176)
Unique sites:
Ce 0.0220 0.7736 0.2500 (multiplicity 6)  5 Sb 3.12-3.43, 1 Th 3.43
Th 0.3333 0.6667 0.2500 (multiplicity 2)  9 Sb 3.30-3.60, 3 Ce 3.43
Sb 0.0712 0.6271 0.7500 (multiplicity 6)  5 Ce 3.12-3.43, 1 Th 3.30, 2 Sb 3.47


(7)
Material: Ca2Tb4Pr5
Method: DFT, PBE
State: optimized geometry

Summary:
D(E_F): 29.79 states/eV per cell

Lattice parameters (Å, degrees): 3.5304 11.8068 19.0813 90.00 90.00 90.00
With the nearest neighbours (Å) after each atom.
Space group Immm (No. 71)
Unique sites:
Ca 0.0000 0.0000 0.1929 (multiplicity 4)  6 Pr 3.49-3.88, 2 Ca 3.53
Tb 0.0000 0.0000 0.4138 (multiplicity 4)  7 Tb 3.29-3.60, 4 Pr 3.47
Tb 0.0000 0.2736 0.0000 (multiplicity 4)  4 Pr 3.40-3.68, 6 Tb 3.53-3.60
Pr 0.0000 0.2950 0.1779 (multiplicity 8)  3 Tb 3.40-3.47, 4 Pr 3.44-3.53, 1 Ca 3.49
Pr 0.0000 0.5000 0.5000 (multiplicity 2)  2 Pr 3.53, 4 Tb 3.68


(8)
Material: BaTa2Cr
Method: DFT, PBE
State: optimized geometry

Summary:
Polymorph energy (0 for the lowest one): 0.5893 eV/atom
D(E_F): 4.86 states/eV per cell

Lattice parameters (Å, degrees): 3.3376 4.9009 5.2951 90.00 90.00 90.00
With the nearest neighbours (Å) after each atom.
Space group Pmmm (No. 47)
Unique sites:
Ba 0.0000 0.0000 0.0000 (multiplicity 1)  4 Cr 2.96, 4 Ta 3.13
Ta 0.0000 0.5000 0.5000 (multiplicity 1)  4 Ta 2.96, 4 Cr 3.13
Ta 0.5000 0.0000 0.5000 (multiplicity 1)  4 Ta 2.96, 4 Ba 3.13
Cr 0.5000 0.5000 0.0000 (multiplicity 1)  4 Ba 2.96, 4 Ta 3.13


(9)
Material: Na2CaCdAs2
Method: DFT, PBE
State: optimized geometry

Summary:
D(E_F): 0.55 states/eV per cell

Lattice parameters (Å, degrees): 4.4380 8.7536 7.4593 90.00 90.00 90.00
With the nearest neighbours (Å) after each atom.
Space group Pmc2_1 (No. 26)
Unique sites:
Na 0.0000 0.0842 0.0000 (multiplicity 2)  5 As 3.11-3.46, 4 Na 3.35-3.41
Na 0.5000 0.1703 0.3219 (multiplicity 2)  4 As 2.94-2.98
Ca 0.5000 0.4366 0.9452 (multiplicity 2)  5 As 2.98-3.14
Cd 0.0000 0.3091 0.6091 (multiplicity 2)  4 As 2.73-2.87
As 0.0000 0.3849 0.2342 (multiplicity 2)  2 Cd 2.84-2.87, 3 Na 2.98-3.16, 4 Ca 3.13-3.14
As 0.5000 0.1545 0.7204 (multiplicity 2)  2 Cd 2.73, 2 Na 2.94-2.98, 1 Ca 2.98


(10)
Material: Na2Be2CuAu5
Method: DFT, PBE
State: optimized geometry

Summary:
D(E_F): 5.96 states/eV per cell

Lattice parameters (Å, degrees): 10.6087 10.6087 2.9425 90.00 90.00 90.00
With the nearest neighbours (Å) after each atom.
Space group P4/mbm (No. 127)
Unique sites:
Na 0.1768 0.3232 0.0000 (multiplicity 4)  3 Be 2.93-3.27, 2 Na 2.94, 10 Au 3.03-3.21
Be 0.1277 0.6277 0.0000 (multiplicity 4)  6 Au 2.41-2.42
Cu 0.0000 0.0000 0.0000 (multiplicity 2)  8 Au 2.71, 2 Cu 2.94
Au 0.0000 0.5000 0.5000 (multiplicity 2)  4 Be 2.42
Au 0.0645 0.7959 0.5000 (multiplicity 8)  2 Be 2.41


(11)
Material: LaSiRu
Method: DFT, PBE
State: optimized geometry

Summary:
Uncorrected formation energy: -0.6113 eV/atom
D(E_F): 3.09 states/eV per cell

Lattice parameters (Å, degrees): 4.1484 4.1484 4.3902 90.00 90.00 120.00
With the nearest neighbours (Å) after each atom.
Space group P3m1 (No. 156)
Unique sites:
La 0.0000 0.0000 0.0000 (multiplicity 1)  6 Ru 3.24-3.26, 6 Si 3.25
Si 0.3333 0.6667 0.4993 (multiplicity 1)  3 Ru 2.40
Ru 0.6667 0.3333 0.4970 (multiplicity 1)  3 Si 2.40


(12)
Material: NdZnAuO4
Method: DFT, PBE
State: optimized geometry

Summary:
Uncorrected formation energy: -1.4833 eV/atom

Lattice parameters (Å, degrees): 6.3388 7.3366 10.5355 90.00 90.00 90.00
With the nearest neighbours (Å) after each atom.
Space group Imma (No. 74)
Unique sites:
Nd 0.0000 0.0000 0.0000 (multiplicity 4)  6 O 2.36-2.49
Zn 0.0000 0.2500 0.4296 (multiplicity 4)  2 O 1.78
Au 0.2500 0.2500 0.7500 (multiplicity 4)  4 O 2.06
O 0.0000 0.0725 0.7696 (multiplicity 8)  2 Au 2.06
O 0.2229 0.2500 0.0433 (multiplicity 8)  1 Zn 1.78


no.,final energy (eV/f.u.)
1,-34.2
2,-9.9
3,-21.5
4,-8.3
5,-27.1
6,-41.8
7,-44.6
8,-30.4
9,-18.9
10,-32.9
11,-21.5
12,-39.5